1 | The following is a PBE calculation of a relaxed PmEr2Ga2 crystal, from Alexandria via LeMat-Bulk.

a = 3.700 Å, b = 8.254 Å, c = 8.254 Å
α = 90.00°, β = 90.00°, γ = 90.00°
Sites, in units of the cell vectors:
Er: 0.000 0.673 0.327
Er: 0.000 0.827 0.827
Pm: 0.500 0.500 0.000
Ga: 0.500 0.878 0.122
Er: 0.000 0.327 0.673
Ga: 0.500 0.622 0.622
Er: 0.000 0.173 0.173
Pm: 0.500 0.000 0.500
Ga: 0.500 0.122 0.878
Ga: 0.500 0.378 0.378


2 | The following is a PBE calculation of a relaxed PmEr2Ga2 crystal, from Alexandria via LeMat-Bulk.

a = 3.767 Å, b = 5.797 Å, c = 6.520 Å
α = 102.06°, β = 106.79°, γ = 90.00°
Sites, in units of the cell vectors:
Pm: 0.000 0.000 0.000
Er: 0.361 0.430 0.723
Ga: 0.293 0.886 0.586
Er: 0.639 0.570 0.277
Ga: 0.707 0.114 0.414


Which structure is most stable, and how do the rest compare? From most to least stable: 1, 2.


1 | The following is a PBE calculation of a relaxed Pm2ErGa crystal, from Alexandria via LeMat-Bulk.

a = 3.539 Å, b = 3.539 Å, c = 11.639 Å
α = 81.26°, β = 81.26°, γ = 60.00°
Each line ends with the local moment (μB).
Sites, in units of the cell vectors:
Pm: 0.101 0.101 0.697  0.05
Er: 0.000 0.000 0.000  0.30
Pm: 0.899 0.899 0.303  0.05
Ga: 0.500 0.500 0.500  0.00


2 | The following is a PBE calculation of a relaxed Pm2ErGa crystal, from Alexandria via LeMat-Bulk.

a = 5.393 Å, b = 5.393 Å, c = 5.393 Å
α = 60.00°, β = 60.00°, γ = 60.00°
Sites, in units of the cell vectors:
Er: 0.500 0.500 0.500
Pm: 0.750 0.750 0.750
Ga: 0.000 0.000 0.000
Pm: 0.250 0.250 0.250


3 | The following is a PBE calculation of a relaxed Pm2ErGa crystal, from Alexandria via LeMat-Bulk.

a = 4.817 Å, b = 4.771 Å, c = 4.771 Å
α = 90.00°, β = 90.00°, γ = 90.00°
Sites, in units of the cell vectors:
Pm: 0.000 0.000 0.500
Er: 0.500 0.000 0.000
Ga: 0.500 0.500 0.500
Pm: 0.000 0.500 0.000


4 | The following is a PBE calculation of a relaxed Pm2ErGa crystal, from Alexandria via LeMat-Bulk.

a = 3.683 Å, b = 3.683 Å, c = 10.566 Å
α = 79.96°, β = 79.96°, γ = 60.00°
Each line ends with the local moment (μB).
Sites, in units of the cell vectors:
Er: 0.500 0.500 0.499  0.34
Pm: 0.072 0.072 0.784  0.08
Pm: 0.261 0.261 0.216  0.04
Ga: 0.666 0.666 0.001  0.01


Which structure is most stable, and how do the rest compare? From most to least stable: 3, 4, 2, 1.


1 | The following is a PBE calculation of a relaxed PmEr2Ga crystal, from Alexandria via LeMat-Bulk.

a = 3.515 Å, b = 3.515 Å, c = 8.901 Å
α = 90.00°, β = 90.00°, γ = 90.00°
Sites, in units of the cell vectors:
Pm: 0.500 0.500 0.500
Ga: 0.500 0.500 0.000
Er: 0.000 0.000 0.794
Er: 0.000 0.000 0.206


2 | The following is a PBE calculation of a relaxed PmEr2Ga crystal, from Alexandria via LeMat-Bulk.

a = 4.284 Å, b = 6.381 Å, c = 8.896 Å
α = 90.00°, β = 90.00°, γ = 109.60°
Sites, in units of the cell vectors:
Er: 0.355 0.710 0.556
Pm: 0.059 0.119 0.750
Er: 0.645 0.290 0.444
Pm: 0.941 0.881 0.250
Er: 0.645 0.290 0.056
Ga: 0.249 0.498 0.250
Er: 0.355 0.710 0.944
Ga: 0.751 0.502 0.750


3 | The following is a PBE calculation of a relaxed PmEr2Ga crystal, from Alexandria via LeMat-Bulk.

a = 3.495 Å, b = 3.495 Å, c = 11.807 Å
α = 81.49°, β = 81.49°, γ = 60.00°
Sites, in units of the cell vectors:
Ga: 0.000 0.000 0.000
Pm: 0.500 0.500 0.500
Er: 0.915 0.915 0.254
Er: 0.085 0.085 0.746


4 | The following is a PBE calculation of a relaxed PmEr2Ga crystal, from Alexandria via LeMat-Bulk.

a = 3.591 Å, b = 3.591 Å, c = 10.443 Å
α = 80.10°, β = 80.10°, γ = 60.00°
Sites, in units of the cell vectors:
Pm: 0.500 0.500 0.499
Ga: 0.666 0.666 0.001
Er: 0.263 0.263 0.210
Er: 0.070 0.070 0.790


Which structure is most stable, and how do the rest compare? From most to least stable: 1, 2, 4, 3.


1 | The following is a PBE calculation of a relaxed PmEr2Ga crystal, from Alexandria via LeMat-Bulk.

a = 5.321 Å, b = 5.321 Å, c = 5.321 Å
α = 60.00°, β = 60.00°, γ = 60.00°
Each line ends with the local moment (μB).
Sites, in units of the cell vectors:
Ga: 0.000 0.000 0.000  0.01
Er: 0.250 0.250 0.250  0.31
Pm: 0.500 0.500 0.500  0.36
Er: 0.750 0.750 0.750  0.31


2 | The following is a PBE calculation of a relaxed PmEr2Ga crystal, from Alexandria via LeMat-Bulk.

a = 4.713 Å, b = 4.743 Å, c = 4.743 Å
α = 90.00°, β = 90.00°, γ = 90.00°
Sites, in units of the cell vectors:
Ga: 0.500 0.000 0.000
Er: 0.000 0.000 0.500
Er: 0.000 0.500 0.000
Pm: 0.500 0.500 0.500


Which structure is most stable, and how do the rest compare? From most to least stable: 2, 1.


1 | The following is a PBE calculation of a relaxed PmErGaPt crystal, from Alexandria via LeMat-Bulk.

a = 3.841 Å, b = 4.372 Å, c = 5.915 Å
α = 90.00°, β = 108.94°, γ = 90.00°
Sites, in units of the cell vectors:
Er: 0.138 0.000 0.277
Pm: 0.853 0.500 0.705
Pt: 0.581 0.500 0.161
Ga: 0.428 0.000 0.857


2 | The following is a PBE calculation of a relaxed PmErGaPt crystal, from Alexandria via LeMat-Bulk.

a = 5.054 Å, b = 5.054 Å, c = 5.054 Å
α = 60.00°, β = 60.00°, γ = 60.00°
Sites, in units of the cell vectors:
Er: 0.500 0.500 0.500
Pm: 0.000 0.000 0.000
Pt: 0.750 0.750 0.750
Ga: 0.250 0.250 0.250


Which structure is most stable, and how do the rest compare? From most to least stable: 1, 2.


1 | The following is a PBE calculation of a relaxed Pr2ErGa crystal, from Alexandria via LeMat-Bulk.

a = 3.728 Å, b = 3.728 Å, c = 10.690 Å
α = 79.96°, β = 79.96°, γ = 60.00°
Each line ends with the local moment (μB).
Sites, in units of the cell vectors:
Pr: 0.261 0.261 0.217  0.04
Pr: 0.072 0.072 0.783  0.08
Ga: 0.666 0.666 0.001  0.01
Er: 0.500 0.500 0.500  0.33


2 | The following is a PBE calculation of a relaxed Pr2ErGa crystal, from Alexandria via LeMat-Bulk.

a = 3.639 Å, b = 3.639 Å, c = 9.040 Å
α = 90.00°, β = 90.00°, γ = 90.00°
Sites, in units of the cell vectors:
Pr: 0.000 0.000 0.213
Ga: 0.500 0.500 0.000
Er: 0.500 0.500 0.500
Pr: 0.000 0.000 0.787


3 | The following is a PBE calculation of a relaxed Pr2ErGa crystal, from Alexandria via LeMat-Bulk.

a = 5.457 Å, b = 5.457 Å, c = 5.457 Å
α = 60.00°, β = 60.00°, γ = 60.00°
Sites, in units of the cell vectors:
Ga: 0.500 0.500 0.500
Er: 0.000 0.000 0.000
Pr: 0.750 0.750 0.750
Pr: 0.250 0.250 0.250


Which structure is most stable, and how do the rest compare? From most to least stable: 2, 1, 3.